(1)
LiPWO5, single point on PBEsol structure, DFT meta-GGA SCAN; formation energy (no corrections) = -2.23 eV/atom; raw total energy = -525.92 eV per cell; symmetry = C2/c, No. 15
1.0
6.969 -2.662 0.000
6.969 2.662 0.000
-4.315 0.000 9.766
Li P W O
4 4 4 20
direct
0.000 0.000 0.000
0.000 0.000 0.500
0.000 0.500 0.000
0.500 0.000 0.500
0.375 0.376 0.814
0.376 0.375 0.314
0.624 0.625 0.686
0.625 0.624 0.186
0.000 0.500 0.500
0.002 0.998 0.250
0.500 0.000 0.000
0.998 0.002 0.750
0.082 0.170 0.411
0.170 0.082 0.911
0.194 0.685 0.847
0.208 0.683 0.345
0.295 0.306 0.160
0.306 0.295 0.660
0.312 0.322 0.409
0.315 0.806 0.653
0.317 0.792 0.155
0.322 0.312 0.909
0.678 0.688 0.091
0.683 0.208 0.845
0.685 0.194 0.347
0.688 0.678 0.591
0.694 0.705 0.340
0.705 0.694 0.840
0.792 0.317 0.655
0.806 0.315 0.153
0.830 0.918 0.089
0.918 0.830 0.589

---

(2)
LiP3W2O12, single point on PBEsol structure, DFT meta-GGA SCAN; formation energy (no corrections) = -2.23 eV/atom; raw total energy = -1151.62 eV per cell; symmetry = P2_1/c, No. 14
1.0
8.652 0.000 0.000
0.000 8.800 0.000
-8.504 0.000 12.218
Li P W O
4 12 8 48
direct
0.027 0.225 0.320
0.027 0.275 0.820
0.973 0.725 0.180
0.973 0.775 0.680
0.033 0.103 0.644
0.033 0.397 0.144
0.251 0.615 0.647
0.251 0.885 0.147
0.458 0.250 0.494
0.458 0.250 0.994
0.542 0.750 0.006
0.542 0.750 0.506
0.749 0.115 0.853
0.749 0.385 0.353
0.967 0.603 0.856
0.967 0.897 0.356
0.138 0.540 0.385
0.138 0.960 0.885
0.370 0.532 0.119
0.370 0.968 0.619
0.630 0.032 0.381
0.630 0.468 0.881
0.862 0.040 0.115
0.862 0.460 0.615
0.009 0.240 0.181
0.009 0.260 0.681
0.062 0.519 0.228
0.062 0.981 0.728
0.089 0.593 0.662
0.089 0.907 0.162
0.146 0.560 0.966
0.146 0.940 0.466
0.186 0.569 0.532
0.186 0.931 0.032
0.205 0.104 0.639
0.205 0.396 0.139
0.265 0.168 0.924
0.265 0.332 0.424
0.298 0.714 0.167
0.298 0.786 0.667
0.382 0.638 0.437
0.382 0.862 0.937
0.417 0.513 0.729
0.417 0.987 0.229
0.450 0.142 0.571
0.450 0.358 0.071
0.481 0.164 0.412
0.481 0.336 0.912
0.519 0.664 0.088
0.519 0.836 0.588
0.550 0.642 0.929
0.550 0.858 0.429
0.583 0.013 0.771
0.583 0.487 0.271
0.618 0.138 0.063
0.618 0.362 0.563
0.702 0.214 0.333
0.702 0.286 0.833
0.735 0.668 0.576
0.735 0.832 0.076
0.795 0.604 0.861
0.795 0.896 0.361
0.814 0.069 0.968
0.814 0.431 0.468
0.854 0.060 0.534
0.854 0.440 0.034
0.911 0.093 0.838
0.911 0.407 0.338
0.938 0.019 0.272
0.938 0.481 0.772
0.991 0.740 0.319
0.991 0.760 0.819

---

(3)
LiP4WO12, single point on PBEsol structure, DFT meta-GGA SCAN; formation energy (no corrections) = -2.23 eV/atom; raw total energy = -914.30 eV per cell; symmetry = Pbcn, No. 60
1.0
12.859 0.000 0.000
0.000 8.255 0.000
0.000 0.000 9.479
Li P W O
4 16 4 48
direct
0.000 0.001 0.250
0.000 0.999 0.750
0.500 0.499 0.750
0.500 0.501 0.250
0.136 0.173 0.001
0.136 0.827 0.501
0.154 0.466 0.506
0.154 0.534 0.006
0.346 0.034 0.006
0.346 0.966 0.506
0.364 0.327 0.501
0.364 0.673 0.001
0.636 0.327 0.999
0.636 0.673 0.499
0.654 0.034 0.494
0.654 0.966 0.994
0.846 0.466 0.994
0.846 0.534 0.494
0.864 0.173 0.499
0.864 0.827 0.999
0.000 0.370 0.250
0.000 0.630 0.750
0.500 0.130 0.750
0.500 0.870 0.250
0.063 0.184 0.126
0.063 0.816 0.626
0.073 0.460 0.621
0.073 0.540 0.121
0.102 0.087 0.873
0.102 0.913 0.373
0.133 0.367 0.376
0.133 0.633 0.876
0.177 0.351 0.962
0.177 0.649 0.462
0.239 0.092 0.070
0.239 0.908 0.570
0.261 0.408 0.570
0.261 0.592 0.070
0.323 0.149 0.462
0.323 0.851 0.962
0.367 0.133 0.876
0.367 0.867 0.376
0.398 0.413 0.373
0.398 0.587 0.873
0.427 0.040 0.121
0.427 0.960 0.621
0.437 0.316 0.626
0.437 0.684 0.126
0.563 0.316 0.874
0.563 0.684 0.374
0.573 0.040 0.379
0.573 0.960 0.879
0.602 0.413 0.127
0.602 0.587 0.627
0.633 0.133 0.624
0.633 0.867 0.124
0.677 0.149 0.038
0.677 0.851 0.538
0.739 0.408 0.930
0.739 0.592 0.430
0.761 0.092 0.430
0.761 0.908 0.930
0.823 0.351 0.538
0.823 0.649 0.038
0.867 0.367 0.124
0.867 0.633 0.624
0.898 0.087 0.627
0.898 0.913 0.127
0.927 0.460 0.879
0.927 0.540 0.379
0.937 0.184 0.374
0.937 0.816 0.874

---

(4)
LiPW2O8, single point on PBEsol structure, DFT meta-GGA SCAN; formation energy (no corrections) = -2.29 eV/atom; raw total energy = -918.10 eV per cell; symmetry = P2_1, No. 4
1.0
6.646 0.000 0.000
0.000 5.290 0.000
-0.046 0.000 17.663
Li P W O
4 4 8 32
direct
0.235 0.000 0.202
0.260 0.066 0.711
0.740 0.566 0.289
0.765 0.500 0.798
0.201 0.610 0.809
0.299 0.657 0.311
0.701 0.157 0.689
0.799 0.110 0.191
0.004 0.645 0.624
0.162 0.128 0.042
0.338 0.148 0.543
0.498 0.624 0.124
0.502 0.124 0.876
0.662 0.648 0.457
0.838 0.628 0.958
0.996 0.145 0.376
0.003 0.608 0.855
0.023 0.845 0.004
0.151 0.365 0.599
0.152 0.455 0.336
0.152 0.692 0.727
0.160 0.140 0.459
0.189 0.868 0.587
0.201 0.925 0.313
0.295 0.341 0.808
0.310 0.411 0.085
0.338 0.134 0.959
0.345 0.621 0.226
0.351 0.811 0.836
0.353 0.912 0.100
0.480 0.425 0.504
0.500 0.146 0.646
0.500 0.646 0.354
0.520 0.925 0.496
0.647 0.412 0.900
0.649 0.311 0.164
0.655 0.121 0.774
0.662 0.634 0.041
0.690 0.911 0.915
0.705 0.841 0.192
0.799 0.425 0.687
0.811 0.368 0.413
0.840 0.640 0.541
0.848 0.192 0.273
0.848 0.955 0.664
0.849 0.865 0.401
0.977 0.345 0.996
0.997 0.108 0.145

---

(5)
Li2P5WO15, single point on PBEsol structure, DFT meta-GGA SCAN; formation energy (no corrections) = -2.27 eV/atom; raw total energy = -544.32 eV per cell; symmetry = P2_1/m, No. 11
1.0
5.262 0.000 0.000
0.000 13.629 0.000
-2.237 0.000 8.526
Li P W O
4 10 2 30
direct
0.216 0.144 0.110
0.216 0.356 0.110
0.784 0.644 0.890
0.784 0.856 0.890
0.011 0.142 0.517
0.011 0.358 0.517
0.337 0.750 0.000
0.377 0.083 0.823
0.377 0.417 0.823
0.623 0.583 0.177
0.623 0.917 0.177
0.663 0.250 0.000
0.989 0.642 0.483
0.989 0.858 0.483
0.500 0.000 0.500
0.500 0.500 0.500
0.045 0.250 0.455
0.051 0.750 0.919
0.142 0.075 0.424
0.142 0.425 0.424
0.173 0.149 0.694
0.173 0.351 0.694
0.249 0.057 0.948
0.249 0.443 0.948
0.275 0.627 0.492
0.275 0.873 0.492
0.384 0.659 0.120
0.384 0.841 0.120
0.464 0.250 0.094
0.478 0.003 0.734
0.478 0.497 0.734
0.522 0.503 0.266
0.522 0.997 0.266
0.536 0.750 0.906
0.616 0.159 0.880
0.616 0.341 0.880
0.725 0.127 0.508
0.725 0.373 0.508
0.751 0.557 0.052
0.751 0.943 0.052
0.827 0.649 0.306
0.827 0.851 0.306
0.858 0.575 0.576
0.858 0.925 0.576
0.949 0.250 0.081
0.955 0.750 0.545

---

(6)
Li3P3W2O12, single point on PBEsol structure, DFT meta-GGA SCAN; formation energy (no corrections) = -2.17 eV/atom; raw total energy = -1183.98 eV per cell; symmetry = P2_1/c, No. 14
1.0
8.505 0.000 0.000
0.000 8.896 0.000
-8.475 0.000 12.152
Li P W O
12 12 8 48
direct
0.083 0.016 0.150
0.083 0.484 0.650
0.144 0.224 0.820
0.144 0.276 0.320
0.267 0.091 0.686
0.267 0.409 0.186
0.733 0.591 0.814
0.733 0.909 0.314
0.856 0.724 0.680
0.856 0.776 0.180
0.917 0.516 0.350
0.917 0.984 0.850
0.032 0.249 0.988
0.032 0.251 0.488
0.237 0.607 0.352
0.237 0.893 0.852
0.459 0.116 0.346
0.459 0.384 0.846
0.541 0.616 0.154
0.541 0.884 0.654
0.763 0.107 0.148
0.763 0.393 0.648
0.968 0.749 0.512
0.968 0.751 0.012
0.145 0.539 0.889
0.145 0.961 0.389
0.363 0.532 0.609
0.363 0.968 0.109
0.637 0.032 0.891
0.637 0.468 0.391
0.855 0.039 0.611
0.855 0.461 0.111
0.001 0.130 0.550
0.001 0.370 0.050
0.129 0.181 0.436
0.129 0.319 0.936
0.133 0.740 0.809
0.133 0.760 0.309
0.134 0.011 0.755
0.134 0.489 0.255
0.152 0.667 0.604
0.152 0.833 0.104
0.174 0.138 0.079
0.174 0.362 0.579
0.199 0.547 0.437
0.199 0.953 0.937
0.249 0.072 0.306
0.249 0.428 0.806
0.401 0.590 0.032
0.401 0.910 0.532
0.438 0.212 0.821
0.438 0.288 0.321
0.449 0.613 0.397
0.449 0.887 0.897
0.487 0.524 0.221
0.487 0.976 0.721
0.513 0.024 0.279
0.513 0.476 0.779
0.551 0.113 0.103
0.551 0.387 0.603
0.562 0.712 0.679
0.562 0.788 0.179
0.599 0.090 0.468
0.599 0.410 0.968
0.751 0.572 0.194
0.751 0.928 0.694
0.801 0.047 0.063
0.801 0.453 0.563
0.826 0.638 0.421
0.826 0.862 0.921
0.848 0.167 0.896
0.848 0.333 0.396
0.866 0.511 0.745
0.866 0.989 0.245
0.867 0.240 0.691
0.867 0.260 0.191
0.871 0.681 0.064
0.871 0.819 0.564
0.999 0.630 0.950
0.999 0.870 0.450

---

(7)
LiP2WO8, single point on PBEsol structure, DFT meta-GGA SCAN; formation energy (no corrections) = -2.32 eV/atom; raw total energy = -170.51 eV per cell; symmetry = C2/m, No. 12
1.0
4.175 -2.636 0.000
4.175 2.636 0.000
-1.496 0.000 7.673
Li P W O
1 2 1 8
direct
0.000 0.000 0.000
0.314 0.314 0.291
0.686 0.686 0.709
0.000 0.000 0.500
0.191 0.666 0.324
0.210 0.210 0.115
0.215 0.215 0.443
0.334 0.809 0.676
0.666 0.191 0.324
0.785 0.785 0.557
0.790 0.790 0.885
0.809 0.334 0.676